#P
Crystalline ZnReP at its relaxed geometry. Source: Alexandria, functional PBE.

```
3
Lattice="1.469 -2.545 0.000 1.469 2.545 0.000 0.000 0.000 6.095" Properties=species:S:1:pos:R:3 pbc="T T T"
Zn 1.469 0.848 4.032
Re 1.469 -0.848 1.860
P 0.000 0.000 0.203
```

Computed properties:
DOS(E_F): 0.46 states/eV per atom

=====

#Q
Crystalline ZnReP at its relaxed geometry. Source: Alexandria, functional PBE.

```
3
Lattice="-1.210 -1.521 6.681 -3.256 0.266 5.842 -0.693 -2.756 0.123" Properties=species:S:1:pos:R:3 pbc="T T T"
Re -1.993 -2.239 4.395
P -4.395 -1.283 12.289
Zn -3.237 -1.744 8.485
```

Computed properties:
DOS(E_F): 0.70 states/eV per atom

=====

Taking the most stable structure as the zero point, the relative energies in kJ/mol of atoms are #P 0.0; #Q 33.3.

=====

#P
Crystalline ZnReP3 at its relaxed geometry. Source: Alexandria, functional PBE.

```
5
Lattice="-0.055 1.578 -4.186 3.679 -2.366 -0.941 -2.546 -3.454 -1.268" Properties=species:S:1:pos:R:3 pbc="T T T"
P -1.273 -1.727 -0.634
P 1.839 -1.183 -0.470
P -0.028 0.789 -2.093
Re 0.539 -2.121 -3.198
Zn 0.000 0.000 0.000
```

Computed properties:
DOS(E_F): 0.88 states/eV per atom

=====

#Q
Crystalline ZnReP3 at its relaxed geometry. Source: Alexandria, functional PBE.

```
5
Lattice="-3.436 -1.227 -2.897 3.016 -2.502 -2.518 -0.893 -3.733 2.640" Properties=species:S:1:pos:R:3 pbc="T T T"
Re 0.000 0.000 0.000
P -0.446 -1.866 1.320
P -1.718 -0.613 -1.448
P 1.508 -1.251 -1.259
Zn -0.656 -3.731 -1.387
```

Computed properties:
DOS(E_F): 0.56 states/eV per atom

=====

Taking the most stable structure as the zero point, the relative energies in kJ/mol of atoms are #P 94.8; #Q 0.0.

=====

#P
Crystalline ZrReP3 at its relaxed geometry. Source: Alexandria, functional PBE.

```
5
Lattice="-3.338 3.148 1.582 -3.523 -3.030 -1.403 0.077 -2.114 4.369" Properties=species:S:1:pos:R:3 pbc="T T T"
Zr 0.000 0.000 0.000
P -1.669 1.574 0.791
P -1.761 -1.515 -0.702
P 0.039 -1.057 2.184
Re -3.392 -0.997 2.274
```

Computed properties:
DOS(E_F): 1.39 states/eV per atom

=====

#Q
Crystalline ZrReP3 at its relaxed geometry. Source: Alexandria, functional PBE.

```
5
Lattice="-3.172 -1.349 -3.075 -2.748 -1.390 3.444 -1.931 4.194 0.152" Properties=species:S:1:pos:R:3 pbc="T T T"
P -1.586 -0.675 -1.538
P -0.965 2.097 0.076
P -1.374 -0.695 1.722
Re 0.000 0.000 0.000
Zr -3.925 0.728 0.260
```

Computed properties:
DOS(E_F): 1.16 states/eV per atom

=====

Taking the most stable structure as the zero point, the relative energies in kJ/mol of atoms are #P 106.0; #Q 0.0.